1.
First-principles (GGA+U) data for an optimized crystal structure of Ba2LiMn2O6, as listed in Alexandria via LeMat-Bulk.

It has space group Cm (No. 8), with a = 10.8481 Å, b = 5.8591 Å, c = 5.2576 Å, α = 90.00°, β = 106.34° and γ = 90.00°. The inequivalent atoms are Ba at (0.0000, 0.0000, 0.0000), Ba at (0.2126, 0.5000, 0.3785), Li at (0.0466, 0.5000, 0.7607), Mn at (0.3187, 0.0000, 0.7634), Mn at (0.3416, 0.0000, 0.2710), O at (0.1767, 0.0000, 0.4609), O at (0.2616, 0.2259, 0.9813), O at (0.4061, 0.2137, 0.5704) and O at (0.4849, 0.0000, 0.0561).

For the energy above the most stable polymorph in this dataset, the calculation gives 54 kJ/mol of formula units. For the electronic total energy, the calculation gives -71.76 eV per formula unit.

2.
First-principles (GGA+U) data for an optimized crystal structure of Ba3Li2MnO6, as listed in Alexandria via LeMat-Bulk.

It has space group P-3m1 (No. 164), with a = 5.8431 Å, b = 5.8431 Å, c = 6.6615 Å, α = 90.00°, β = 90.00° and γ = 120.00°. The inequivalent atoms are Ba at (0.0000, 0.0000, 0.0000), Ba at (0.3333, 0.6667, 0.6439), Li at (0.3333, 0.6667, 0.2395), Mn at (0.0000, 0.0000, 0.5000) and O at (0.1589, 0.3178, 0.3231).

For the electronic total energy, the calculation gives -71.34 eV per formula unit.

3.
First-principles (GGA+U) data for an optimized crystal structure of Ba2LiMn2O6, as listed in Alexandria via LeMat-Bulk.

It has space group Amm2 (No. 38), with a = 5.2756 Å, b = 5.7344 Å, c = 10.1063 Å, α = 90.00°, β = 90.00° and γ = 90.00°. The inequivalent atoms are Ba at (0.0000, 0.0000, 0.0000), Ba at (0.5000, 0.0000, 0.3530), Li at (0.0000, 0.0000, 0.3246), Mn at (0.2547, 0.0000, 0.6721), O at (0.0000, 0.0000, 0.5024), O at (0.0000, 0.2275, 0.7386), O at (0.5000, 0.0000, 0.8337) and O at (0.5000, 0.2238, 0.6041).

For the energy above the most stable polymorph in this dataset, the calculation gives 80 kJ/mol of formula units. For the electronic total energy, the calculation gives -71.50 eV per formula unit.

4.
First-principles (GGA+U) data for an optimized crystal structure of BaLiMnO4, as listed in Alexandria via LeMat-Bulk.

It has space group I-4 (No. 82), with a = 5.6466 Å, b = 5.6466 Å, c = 7.8515 Å, α = 90.00°, β = 90.00° and γ = 90.00°. The inequivalent atoms are Ba at (0.0000, 0.0000, 0.0000), Li at (0.0000, 0.0000, 0.5000), Mn at (0.0000, 0.5000, 0.2500) and O at (0.1224, 0.7235, 0.3691).

For the electronic total energy, the calculation gives -43.64 eV per formula unit.

5.
First-principles (GGA+U) data for an optimized crystal structure of Ba2LiMn2O6, as listed in Alexandria via LeMat-Bulk.

It has space group C2/m (No. 12), with a = 11.1359 Å, b = 5.6456 Å, c = 5.2594 Å, α = 90.00°, β = 107.45° and γ = 90.00°. The inequivalent atoms are Ba at (0.1930, 0.0000, 0.1916), Li at (0.0000, 0.0000, 0.5000), Mn at (0.0000, 0.5000, 0.0000), Mn at (0.0000, 0.5000, 0.5000), O at (0.0769, 0.2635, 0.7668) and O at (0.1365, 0.5000, 0.3250).

For the energy above the most stable polymorph in this dataset, the calculation gives 0 kJ/mol of formula units. For the electronic total energy, the calculation gives -72.32 eV per formula unit.